No. 1
Entry from Alexandria via LeMat-Bulk: an optimized crystal structure of Sm3In (GGA-PBE).

Computed properties:
excess energy over the best structure of this formula in the dataset: 0.0 meV per atom
ΔE_f: -0.27 eV/atom
symmetry: Pm-3m (221)
mass density: 7812 kg/m3

Cell lengths 4.9364, 4.9364, 4.9364 Å; angles 90.00, 90.00, 90.00 degrees
Last column: nearest neighbours and their distance in Å.
Fractional positions:
Sm (0.0000, 0.0000, 0.5000)  4 In 3.49, 8 Sm 3.49
Sm (0.0000, 0.5000, 0.0000)  4 In 3.49, 8 Sm 3.49
Sm (0.5000, 0.0000, 0.0000)  4 In 3.49, 8 Sm 3.49
In (0.5000, 0.5000, 0.5000)  12 Sm 3.49

No. 2
Entry from Alexandria via LeMat-Bulk: an optimized crystal structure of CdPbBr2 (GGA-PBE).

Computed properties:
excess energy over the best structure of this formula in the dataset: 0.0 meV per atom
formation energy (no corrections): -0.538 eV/atom
symmetry: R3m (160)
mass density: 5710 kg/m3

Cell lengths 9.3243, 9.3243, 9.3243 Å; angles 26.22, 26.22, 26.22 degrees
Last column: nearest neighbours and their distance in Å.
Fractional positions:
Cd (0.0000, 0.0000, 0.0000)  3 Br 2.87
Pb (0.7485, 0.7485, 0.7485)  3 Br 3.02, 3 Cd 3.29
Br (0.2774, 0.2774, 0.2774)  3 Cd 2.87
Br (0.4813, 0.4813, 0.4813)  3 Pb 3.02

No. 3
Entry from Alexandria via LeMat-Bulk: an optimized crystal structure of CsGeP2Se8 (GGA-PBE).

Computed properties:
formation energy (no corrections): -0.169 eV/atom
symmetry: P-3 (147)
mass density: 4095 kg/m3

Cell lengths 6.2002, 6.2002, 10.9526 Å; angles 90.00, 90.00, 120.00 degrees
Last column: nearest neighbours and their distance in Å.
Fractional positions:
Cs (0.0000, 0.0000, 0.0000)  6 Se 3.73
Ge (0.0000, 0.0000, 0.5000)  6 Se 2.63
P (0.3333, 0.6667, 0.7086)  4 Se 2.16-2.27
P (0.6667, 0.3333, 0.2914)  4 Se 2.16-2.27
Se (0.0216, 0.6818, 0.3494)  1 P 2.27
Se (0.3182, 0.3397, 0.3494)  1 P 2.27
Se (0.3333, 0.6667, 0.9055)  1 P 2.16
Se (0.3397, 0.0216, 0.6506)  1 P 2.27
Se (0.6603, 0.9784, 0.3494)  1 P 2.27
Se (0.6667, 0.3333, 0.0945)  1 P 2.16
Se (0.6818, 0.6603, 0.6506)  1 P 2.27
Se (0.9784, 0.3182, 0.6506)  1 P 2.27

No. 4
Entry from Alexandria via LeMat-Bulk: an optimized crystal structure of CuP2Pb (GGA-PBE).

Computed properties:
ΔE_f: 0.25 eV/atom
symmetry: P4/mmm (123)
mass density: 7212 kg/m3

Cell lengths 3.3843, 3.3843, 6.6877 Å; angles 90.00, 90.00, 90.00 degrees
Last column: nearest neighbours and their distance in Å.
Fractional positions:
Cu (0.0000, 0.0000, 0.0000)  8 P 2.62
P (0.5000, 0.5000, 0.1590)  1 P 2.13
P (0.5000, 0.5000, 0.8410)  1 P 2.13
Pb (0.0000, 0.0000, 0.5000)  8 P 3.31, 2 Cu 3.34, 4 Pb 3.38

No. 5
Entry from Alexandria via LeMat-Bulk: an optimized crystal structure of LaDy12Th6 (GGA-PBE).

Computed properties:
ΔE_f: 0.51 eV/atom
symmetry: R-3m (166)
mass density: 8578 kg/m3

Cell lengths 9.2602, 9.2602, 9.2602 Å; angles 106.28, 106.28, 106.28 degrees
Last column: nearest neighbours and their distance in Å.
Fractional positions:
La (0.0000, 0.0000, 0.0000)  6 Dy 3.43
Dy (0.0953, 0.3374, 0.3374)  4 Th 3.36-3.57, 4 Dy 3.38-3.59, 1 La 3.43
Dy (0.1125, 0.5000, 0.8875)  3 Dy 3.33-3.38, 4 Th 3.39-3.57
Dy (0.1125, 0.8875, 0.5000)  3 Dy 3.33-3.38, 4 Th 3.39-3.57
Dy (0.3374, 0.0953, 0.3374)  4 Th 3.36-3.57, 4 Dy 3.38-3.59, 1 La 3.43
Dy (0.3374, 0.3374, 0.0953)  4 Th 3.36-3.57, 4 Dy 3.38-3.59, 1 La 3.43
Dy (0.5000, 0.1125, 0.8875)  3 Dy 3.33-3.38, 4 Th 3.39-3.57
Dy (0.5000, 0.8875, 0.1125)  3 Dy 3.33-3.38, 4 Th 3.39-3.57
Dy (0.6626, 0.6626, 0.9047)  4 Th 3.36-3.57, 4 Dy 3.38-3.59, 1 La 3.43
Dy (0.6626, 0.9047, 0.6626)  4 Th 3.36-3.57, 4 Dy 3.38-3.59, 1 La 3.43
Dy (0.8875, 0.1125, 0.5000)  3 Dy 3.33-3.38, 4 Th 3.39-3.57
Dy (0.8875, 0.5000, 0.1125)  3 Dy 3.33-3.38, 4 Th 3.39-3.57
Dy (0.9047, 0.6626, 0.6626)  4 Th 3.36-3.57, 4 Dy 3.38-3.59, 1 La 3.43
Th (0.2989, 0.6790, 0.6790)  8 Dy 3.36-3.57, 2 Th 3.44
Th (0.3210, 0.3210, 0.7011)  8 Dy 3.36-3.57, 2 Th 3.44
Th (0.3210, 0.7011, 0.3210)  8 Dy 3.36-3.57, 2 Th 3.44
Th (0.6790, 0.2989, 0.6790)  8 Dy 3.36-3.57, 2 Th 3.44
Th (0.6790, 0.6790, 0.2989)  8 Dy 3.36-3.57, 2 Th 3.44
Th (0.7011, 0.3210, 0.3210)  8 Dy 3.36-3.57, 2 Th 3.44

No. 6
Entry from Alexandria via LeMat-Bulk: an optimized crystal structure of AcGaAg (GGA-PBE).

Computed properties:
excess energy over the best structure of this formula in the dataset: 30.0 meV per atom
ΔE_f: -0.43 eV/atom
symmetry: P-6m2 (187)
mass density: 8446 kg/m3

Cell lengths 4.7963, 4.7963, 3.9930 Å; angles 90.00, 90.00, 120.00 degrees
Last column: nearest neighbours and their distance in Å.
Fractional positions:
Ac (0.0000, 0.0000, 0.0000)  6 Ag 3.41, 6 Ga 3.41
Ga (0.3333, 0.6667, 0.5000)  3 Ag 2.77
Ag (0.6667, 0.3333, 0.5000)  3 Ga 2.77

No. 7
Entry from Alexandria via LeMat-Bulk: an optimized crystal structure of CsZnHg3 (GGA-PBE).

Computed properties:
excess energy over the best structure of this formula in the dataset: 439.5 meV per atom
ΔE_f: 0.30 eV/atom
symmetry: Pm-3m (221)
mass density: 3348 kg/m3

Cell lengths 7.3489, 7.3489, 7.3489 Å; angles 90.00, 90.00, 90.00 degrees
Last column: nearest neighbours and their distance in Å.
Fractional positions:
Cs (0.0000, 0.0000, 0.0000)  6 Hg 3.67
Zn (0.5000, 0.5000, 0.5000)  12 Hg 5.20
Hg (0.0000, 0.0000, 0.5000)  2 Cs 3.67
Hg (0.0000, 0.5000, 0.0000)  2 Cs 3.67
Hg (0.5000, 0.0000, 0.0000)  2 Cs 3.67

No. 8
Entry from Alexandria via LeMat-Bulk: an optimized crystal structure of UMnVPt (GGA-PBE).

Computed properties:
ΔE_f: -0.06 eV/atom
symmetry: F-43m (216)
mass density: 14042 kg/m3

Cell lengths 4.4837, 4.4837, 4.4837 Å; angles 60.00, 60.00, 60.00 degrees
Last column: nearest neighbours and their distance in Å.
Fractional positions:
U (0.0000, 0.0000, 0.0000)  4 Mn 2.75, 4 V 2.75
Mn (0.7500, 0.7500, 0.7500)  4 Pt 2.75, 4 U 2.75
V (0.2500, 0.2500, 0.2500)  4 Pt 2.75, 4 U 2.75
Pt (0.5000, 0.5000, 0.5000)  4 V 2.75, 4 Mn 2.75

No. 9
Entry from Alexandria via LeMat-Bulk: an optimized crystal structure of CeTlTe2 (GGA-PBE).

Computed properties:
formation energy (no corrections): -0.803 eV/atom
symmetry: I4/mcm (140)
mass density: 7820 kg/m3

Cell lengths 6.9184, 6.9184, 6.9184 Å; angles 110.51, 110.51, 107.42 degrees
Last column: nearest neighbours and their distance in Å.
Fractional positions:
Ce (0.2500, 0.7500, 0.5000)  4 Te 3.21
Ce (0.7500, 0.2500, 0.5000)  4 Te 3.21
Tl (0.2500, 0.2500, 0.0000)  8 Te 3.47
Tl (0.7500, 0.7500, 0.0000)  8 Te 3.47
Te (0.2220, 0.7220, 0.9440)  2 Ce 3.21, 4 Tl 3.47
Te (0.2780, 0.2220, 0.5000)  2 Ce 3.21, 4 Tl 3.47
Te (0.7220, 0.7780, 0.5000)  2 Ce 3.21, 4 Tl 3.47
Te (0.7780, 0.2780, 0.0560)  2 Ce 3.21, 4 Tl 3.47

No. 10
Entry from Alexandria via LeMat-Bulk: an optimized crystal structure of Li4La2H (GGA-PBE).

Computed properties:
symmetry: I4/mmm (139)
mass density: 3306 kg/m3

Cell lengths 11.1347, 11.1347, 11.1347 Å; angles 160.49, 160.49, 27.73 degrees
Last column: nearest neighbours and their distance in Å.
Fractional positions:
Li (0.0000, 0.5000, 0.5000)  2 H 1.89
Li (0.0921, 0.0921, 0.0000)  1 H 1.99
Li (0.5000, 0.0000, 0.5000)  2 H 1.89
Li (0.9079, 0.9079, 0.0000)  1 H 1.99
La (0.3083, 0.3083, 0.0000)  4 Li 3.43, 8 La 3.67-3.77
La (0.6917, 0.6917, 0.0000)  4 Li 3.43, 8 La 3.67-3.77
H (0.0000, 0.0000, 0.0000)  6 Li 1.89-1.99

No. 11
Entry from Alexandria via LeMat-Bulk: an optimized crystal structure of Y4C (GGA-PBE).

Computed properties:
excess energy over the best structure of this formula in the dataset: 537.4 meV per atom
ΔE_f: 0.44 eV/atom
symmetry: Im-3m (229)
mass density: 4919 kg/m3

Cell lengths 5.4427, 5.4427, 5.4427 Å; angles 109.47, 109.47, 109.47 degrees
Last column: nearest neighbours and their distance in Å.
Fractional positions:
Y (0.0000, 0.0000, 0.5000)  2 C 2.72
Y (0.0000, 0.5000, 0.0000)  2 C 2.72
Y (0.5000, 0.0000, 0.0000)  2 C 2.72
Y (0.5000, 0.5000, 0.5000)  2 C 2.72
C (0.0000, 0.0000, 0.0000)  8 Y 2.72

No. 12
Entry from Alexandria via LeMat-Bulk: an optimized crystal structure of TbCeGaRh (GGA-PBE).

Computed properties:
excess energy over the best structure of this formula in the dataset: 130.9 meV per atom
ΔE_f: -0.57 eV/atom
symmetry: F-43m (216)
mass density: 8773 kg/m3

Cell lengths 5.0167, 5.0167, 5.0167 Å; angles 60.00, 60.00, 60.00 degrees
Last column: nearest neighbours and their distance in Å.
Fractional positions:
Tb (0.0000, 0.0000, 0.0000)  4 Rh 3.07, 4 Ga 3.07
Ce (0.5000, 0.5000, 0.5000)  4 Rh 3.07, 4 Ga 3.07
Ga (0.2500, 0.2500, 0.2500)  4 Ce 3.07, 4 Tb 3.07
Rh (0.7500, 0.7500, 0.7500)  4 Tb 3.07, 4 Ce 3.07

No. 13
Entry from Alexandria via LeMat-Bulk: an optimized crystal structure of Ca4AcGa4 (GGA-PBE).

Computed properties:
ΔE_f: -0.27 eV/atom
symmetry: P4_2/n (86)
mass density: 3818 kg/m3

Cell lengths 9.7463, 9.7463, 6.1003 Å; angles 90.00, 90.00, 90.00 degrees
Last column: nearest neighbours and their distance in Å.
Fractional positions:
Ca (0.0875, 0.6523, 0.1252)  5 Ga 3.09-3.27
Ca (0.1523, 0.9125, 0.6252)  5 Ga 3.09-3.27
Ca (0.3477, 0.5875, 0.6252)  5 Ga 3.09-3.27
Ca (0.4125, 0.8477, 0.1252)  5 Ga 3.09-3.27
Ca (0.5875, 0.1523, 0.8748)  5 Ga 3.09-3.27
Ca (0.6523, 0.4125, 0.3748)  5 Ga 3.09-3.27
Ca (0.8477, 0.0875, 0.3748)  5 Ga 3.09-3.27
Ca (0.9125, 0.3477, 0.8748)  5 Ga 3.09-3.27
Ac (0.2500, 0.2500, 0.2500)  4 Ga 3.21
Ac (0.7500, 0.7500, 0.7500)  4 Ga 3.21
Ga (0.0312, 0.5992, 0.6223)  1 Ga 2.52
Ga (0.0992, 0.9688, 0.1223)  1 Ga 2.52
Ga (0.4008, 0.5312, 0.1223)  1 Ga 2.52
Ga (0.4688, 0.9008, 0.6223)  1 Ga 2.52
Ga (0.5312, 0.0992, 0.3777)  1 Ga 2.52
Ga (0.5992, 0.4688, 0.8777)  1 Ga 2.52
Ga (0.9008, 0.0312, 0.8777)  1 Ga 2.52
Ga (0.9688, 0.4008, 0.3777)  1 Ga 2.52

No. 14
Entry from Alexandria via LeMat-Bulk: an optimized crystal structure of Ac4Pd3Cl (GGA-PBE).

Computed properties:
formation energy (no corrections): -0.992 eV/atom
symmetry: Cmmm (65)
mass density: 8315 kg/m3

Cell lengths 7.7667, 7.7667, 4.4120 Å; angles 90.00, 90.00, 108.65 degrees
Last column: nearest neighbours and their distance in Å.
Fractional positions:
Ac (0.2319, 0.2319, 0.5000)  4 Pd 3.05-3.16, 2 Cl 3.28
Ac (0.2392, 0.7608, 0.0000)  5 Pd 3.02-3.16, 1 Cl 3.29
Ac (0.7608, 0.2392, 0.0000)  5 Pd 3.02-3.16, 1 Cl 3.29
Ac (0.7681, 0.7681, 0.5000)  4 Pd 3.05-3.16, 2 Cl 3.28
Pd (0.0000, 0.0000, 0.0000)  6 Ac 3.02-3.05
Pd (0.0000, 0.5000, 0.5000)  6 Ac 3.16
Pd (0.5000, 0.0000, 0.5000)  6 Ac 3.16
Cl (0.5000, 0.5000, 0.0000)  6 Ac 3.28-3.29

No. 15
Entry from Alexandria via LeMat-Bulk: an optimized crystal structure of La2Nd8Sm3 (GGA-PBE).

Computed properties:
excess energy over the best structure of this formula in the dataset: 53.5 meV per atom
ΔE_f: 0.21 eV/atom
symmetry: Cmmm (65)
mass density: 6605 kg/m3

Cell lengths 11.2584, 11.2584, 5.7807 Å; angles 90.00, 90.00, 139.76 degrees
Last column: nearest neighbours and their distance in Å.
Fractional positions:
La (0.2421, 0.7579, 0.0000)  8 Nd 3.47-3.73
La (0.7579, 0.2421, 0.0000)  8 Nd 3.47-3.73
Nd (0.1304, 0.8696, 0.5000)  2 Sm 3.54, 6 Nd 3.72-3.95, 2 La 3.73
Nd (0.1892, 0.3969, 0.0000)  1 Sm 3.16, 1 Nd 3.21
Nd (0.3330, 0.6670, 0.5000)  2 La 3.47, 4 Nd 3.56
Nd (0.3969, 0.1892, 0.0000)  1 Sm 3.16, 1 Nd 3.21
Nd (0.6031, 0.8108, 0.0000)  1 Sm 3.16, 1 Nd 3.21
Nd (0.6670, 0.3330, 0.5000)  2 La 3.47, 4 Nd 3.56
Nd (0.8108, 0.6031, 0.0000)  1 Sm 3.16, 1 Nd 3.21
Nd (0.8696, 0.1304, 0.5000)  2 Sm 3.54, 6 Nd 3.72-3.95, 2 La 3.73
Sm (0.0000, 0.0000, 0.0000)  4 Nd 3.16
Sm (0.2864, 0.2864, 0.5000)  3 Sm 3.31-3.64, 6 Nd 3.54-3.63
Sm (0.7136, 0.7136, 0.5000)  3 Sm 3.31-3.64, 6 Nd 3.54-3.63

No. 16
Entry from Alexandria via LeMat-Bulk: an optimized crystal structure of Ag4BiAu (GGA-PBE).

Computed properties:
excess energy over the best structure of this formula in the dataset: 0.0 meV per atom
ΔE_f: 0.06 eV/atom
symmetry: Pmma (51)
mass density: 11057 kg/m3

Cell lengths 8.2721, 4.1720, 7.2881 Å; angles 90.00, 90.00, 90.00 degrees
Last column: nearest neighbours and their distance in Å.
Fractional positions:
Ag (0.0000, 0.0000, 0.0000)  2 Au 2.81, 8 Ag 2.94-3.02
Ag (0.0198, 0.5000, 0.2991)  2 Au 2.84, 5 Ag 2.95-3.02, 2 Bi 3.07
Ag (0.2500, 0.5000, 0.9768)  2 Au 2.94, 8 Ag 2.94-3.02, 2 Bi 3.15
Ag (0.4802, 0.5000, 0.2991)  2 Au 2.84, 5 Ag 2.95-3.02, 2 Bi 3.07
Ag (0.5000, 0.0000, 0.0000)  2 Au 2.81, 8 Ag 2.94-3.02
Ag (0.5198, 0.5000, 0.7009)  2 Au 2.84, 5 Ag 2.95-3.02, 2 Bi 3.07
Ag (0.7500, 0.5000, 0.0232)  2 Au 2.94, 8 Ag 2.94-3.02, 2 Bi 3.15
Ag (0.9802, 0.5000, 0.7009)  2 Au 2.84, 5 Ag 2.95-3.02, 2 Bi 3.07
Bi (0.2500, 0.0000, 0.6538)  1 Au 2.86, 6 Ag 3.07-3.15
Bi (0.7500, 0.0000, 0.3462)  1 Au 2.86, 6 Ag 3.07-3.15
Au (0.2500, 0.0000, 0.2613)  8 Ag 2.81-2.94, 1 Bi 2.86
Au (0.7500, 0.0000, 0.7387)  8 Ag 2.81-2.94, 1 Bi 2.86

No. 17
Entry from Alexandria via LeMat-Bulk: an optimized crystal structure of TbCeY6 (GGA-PBE).

Computed properties:
excess energy over the best structure of this formula in the dataset: 0.0 meV per atom
ΔE_f: 0.05 eV/atom
symmetry: P4/mmm (123)
mass density: 5374 kg/m3

Cell lengths 5.0515, 5.0515, 10.0813 Å; angles 90.00, 90.00, 90.00 degrees
Last column: nearest neighbours and their distance in Å.
Fractional positions:
Tb (0.0000, 0.0000, 0.0000)  12 Y 3.57-3.58
Ce (0.0000, 0.0000, 0.5000)  12 Y 3.56-3.57
Y (0.0000, 0.5000, 0.2514)  2 Ce 3.56, 8 Y 3.56-3.58, 2 Tb 3.58
Y (0.0000, 0.5000, 0.7486)  2 Ce 3.56, 8 Y 3.56-3.58, 2 Tb 3.58
Y (0.5000, 0.0000, 0.2514)  2 Ce 3.56, 8 Y 3.56-3.58, 2 Tb 3.58
Y (0.5000, 0.0000, 0.7486)  2 Ce 3.56, 8 Y 3.56-3.58, 2 Tb 3.58
Y (0.5000, 0.5000, 0.0000)  4 Tb 3.57, 8 Y 3.58
Y (0.5000, 0.5000, 0.5000)  8 Y 3.56, 4 Ce 3.57

No. 18
Entry from Alexandria via LeMat-Bulk: an optimized crystal structure of YSbPb2O (GGA-PBE).

Computed properties:
formation energy (no corrections): -0.439 eV/atom
symmetry: P4/mmm (123)
mass density: 6682 kg/m3

Cell lengths 6.2134, 6.2134, 4.1262 Å; angles 90.00, 90.00, 90.00 degrees
Last column: nearest neighbours and their distance in Å.
Fractional positions:
Y (0.0000, 0.0000, 0.0000)  2 O 2.06
Sb (0.5000, 0.5000, 0.5000)  8 Pb 3.73, 2 Sb 4.13
Pb (0.0000, 0.5000, 0.0000)  2 Y 3.11
Pb (0.5000, 0.0000, 0.0000)  2 Y 3.11
O (0.0000, 0.0000, 0.5000)  2 Y 2.06

No. 19
Entry from Alexandria via LeMat-Bulk: an optimized crystal structure of Nb2AlCoH (GGA-PBE).

Computed properties:
symmetry: P4/mmm (123)
mass density: 7039 kg/m3

Cell lengths 4.0875, 4.0875, 3.8508 Å; angles 90.00, 90.00, 90.00 degrees
Last column: nearest neighbours and their distance in Å.
Fractional positions:
Nb (0.0000, 0.5000, 0.0000)  2 H 2.04
Nb (0.5000, 0.0000, 0.0000)  2 H 2.04
Al (0.0000, 0.0000, 0.5000)  8 Nb 2.81, 4 Co 2.89
Co (0.5000, 0.5000, 0.5000)  2 H 1.93
H (0.5000, 0.5000, 0.0000)  2 Co 1.93, 4 Nb 2.04

No. 20
Entry from Alexandria via LeMat-Bulk: an optimized crystal structure of NpCdHgGe (GGA-PBE).

Computed properties:
ΔE_f: 0.08 eV/atom
symmetry: F-43m (216)
mass density: 11340 kg/m3

Cell lengths 5.0520, 5.0520, 5.0520 Å; angles 60.00, 60.00, 60.00 degrees
Last column: nearest neighbours and their distance in Å.
Fractional positions:
Np (0.0000, 0.0000, 0.0000)  4 Ge 3.09, 4 Hg 3.09
Cd (0.5000, 0.5000, 0.5000)  4 Hg 3.09, 4 Ge 3.09
Hg (0.2500, 0.2500, 0.2500)  4 Cd 3.09, 4 Np 3.09
Ge (0.7500, 0.7500, 0.7500)  4 Cd 3.09, 4 Np 3.09

Values of electronic total energy, in order: -17.98; -10.12; -46.19; -17.62; -94.99; -11.29; -1.54; -35.85; -17.79; -20.92; -32.86; -23.22; -26.65; -41.80; -59.48; -18.19; -48.94; -25.15; -35.36; -18.45, all in eV per formula unit.